Record 1
{"formula": "OsRu2Au", "functional": "PBE", "state": "relaxed", "lattice": [[2.765, 0.000, 0.000], [0.000, 2.765, 0.000], [0.000, 0.000, 7.869]], "species": ["Au", "Os", "Ru", "Ru"], "fractional_positions": [[0.500, 0.500, 0.250], [0.500, 0.500, 0.750], [0.000, 0.000, 0.981], [0.000, 0.000, 0.519]], "ef_kj_per_mol_atoms": 24.86, "m_tot_mub_per_fu": 0.00, "e_above_lowest_polymorph_ev_per_atom": 0.021}



Record 2
{"formula": "NaSr4Pa3N8", "functional": "PBE", "state": "relaxed", "lattice": [[7.252, 0.000, 0.000], [0.000, 7.284, 0.016], [-3.626, -3.622, 5.131]], "species": ["Na", "Sr", "Sr", "Sr", "Sr", "Pa", "Pa", "Pa", "N", "N", "N", "N", "N", "N", "N", "N"], "fractional_positions": [[0.000, 0.500, 0.000], [0.500, 0.000, 0.000], [0.500, 0.000, 0.500], [0.000, 0.000, 0.000], [0.000, 0.000, 0.500], [0.500, 0.500, 0.000], [0.500, 0.500, 0.500], [0.000, 0.500, 0.500], [0.252, 0.700, 0.948], [0.252, 0.700, 0.504], [0.263, 0.290, 0.526], [0.696, 0.700, 0.948], [0.304, 0.300, 0.052], [0.737, 0.710, 0.474], [0.748, 0.300, 0.496], [0.748, 0.300, 0.052]], "m_tot_mub_per_fu": 0.00, "formation_energy_uncorrected_ev_per_atom": -1.2053}



Record 3
{"formula": "PmHo9Th2", "functional": "PBE", "state": "relaxed", "lattice": [[-0.332, 2.586, 2.327], [2.387, -7.225, 8.369], [8.336, 5.677, -5.119]], "species": ["Pm", "Ho", "Ho", "Ho", "Ho", "Ho", "Ho", "Ho", "Ho", "Ho", "Th", "Th"], "fractional_positions": [[0.000, 0.000, 0.000], [0.000, 0.000, 0.500], [0.000, 0.500, 0.500], [0.000, 0.500, 0.000], [0.500, 0.350, 0.175], [0.500, 0.175, 0.825], [0.500, 0.175, 0.350], [0.500, 0.825, 0.650], [0.500, 0.825, 0.175], [0.500, 0.650, 0.825], [0.000, 0.333, 0.667], [0.000, 0.667, 0.333]], "ef_kj_per_mol_atoms": 9.95, "m_tot_mub_per_fu": 0.00, "e_above_lowest_polymorph_ev_per_atom": 0.072}



Record 4
{"formula": "NiHg2B", "functional": "PBE", "state": "relaxed", "lattice": [[9.120, 0.000, 0.000], [0.000, 9.120, 0.000], [4.560, 4.560, 1.963]], "species": ["Ni", "Ni", "B", "B", "Hg", "Hg", "Hg", "Hg"], "fractional_positions": [[0.000, 0.000, 0.000], [0.750, 0.250, 0.500], [0.500, 0.500, 0.000], [0.250, 0.750, 0.500], [0.375, 0.125, 0.250], [0.375, 0.625, 0.250], [0.375, 0.625, 0.750], [0.875, 0.625, 0.750]], "ef_kj_per_mol_atoms": 42.91, "m_tot_mub_per_fu": 0.00}



Record 5
{"formula": "Tb3Pm2PrHo6", "functional": "PBE", "state": "relaxed", "lattice": [[-5.324, 1.366, -2.848], [3.977, -3.960, -2.611], [-4.743, -7.961, 7.283]], "species": ["Tb", "Tb", "Tb", "Pm", "Pm", "Pr", "Ho", "Ho", "Ho", "Ho", "Ho", "Ho"], "fractional_positions": [[0.167, 0.833, 0.500], [0.833, 0.167, 0.500], [0.500, 0.500, 0.500], [0.333, 0.667, 0.000], [0.667, 0.333, 0.000], [0.000, 0.000, 0.000], [0.915, 0.582, 0.747], [0.751, 0.751, 0.253], [0.085, 0.418, 0.253], [0.582, 0.915, 0.747], [0.249, 0.249, 0.747], [0.418, 0.085, 0.253]], "ef_kj_per_mol_atoms": 1.61, "m_tot_mub_per_fu": 0.00}



Record 6
{"formula": "CoRu2Au", "functional": "PBE", "state": "relaxed", "lattice": [[-3.673, 2.108, -2.080], [-3.636, -2.993, -0.301], [2.768, 1.277, 3.602]], "species": ["Au", "Co", "Ru", "Ru"], "fractional_positions": [[0.500, 0.500, 0.000], [0.250, 0.750, 0.500], [0.000, 0.000, 0.000], [0.750, 0.250, 0.500]], "ef_kj_per_mol_atoms": 34.19, "m_tot_mub_per_fu": 1.44, "e_above_lowest_polymorph_ev_per_atom": 0.106}



Record 7
{"formula": "HfZrVRh", "functional": "PBE", "state": "relaxed", "lattice": [[4.657, 0.000, 0.000], [2.328, 4.033, 0.000], [2.328, 1.344, 3.802]], "species": ["Rh", "Hf", "Zr", "V"], "fractional_positions": [[0.000, 0.000, 0.000], [0.750, 0.750, 0.750], [0.250, 0.250, 0.250], [0.500, 0.500, 0.500]], "ef_kj_per_mol_atoms": -32.38, "m_tot_mub_per_fu": 1.85}



Record 8
{"formula": "La5Pr2Dy3", "functional": "PBE", "state": "relaxed", "lattice": [[9.035, 2.036, -4.364], [0.515, 9.215, -4.404], [-2.332, -2.690, 10.811]], "species": ["La", "La", "La", "La", "La", "La", "La", "La", "La", "La", "Pr", "Pr", "Pr", "Pr", "Dy", "Dy", "Dy", "Dy", "Dy", "Dy"], "fractional_positions": [[0.277, 0.527, 0.053], [0.723, 0.473, 0.947], [0.024, 0.774, 0.549], [0.517, 0.267, 0.533], [0.976, 0.226, 0.451], [0.483, 0.733, 0.467], [0.881, 0.627, 0.759], [0.119, 0.373, 0.241], [0.378, 0.132, 0.759], [0.622, 0.868, 0.241], [0.785, 0.033, 0.757], [0.215, 0.967, 0.243], [0.471, 0.724, 0.757], [0.529, 0.276, 0.243], [0.231, 0.981, 0.963], [0.769, 0.019, 0.037], [0.725, 0.468, 0.248], [0.275, 0.532, 0.752], [0.023, 0.780, 0.248], [0.977, 0.220, 0.752]], "ef_kj_per_mol_atoms": 15.12, "m_tot_mub_per_fu": 0.00}



Record 9
{"formula": "Sm7Tl4Ag", "functional": "PBE", "state": "relaxed", "lattice": [[5.686, 0.000, 0.000], [2.843, 9.046, 0.032], [2.843, 0.370, 7.423]], "species": ["Sm", "Sm", "Sm", "Sm", "Sm", "Sm", "Sm", "Tl", "Tl", "Tl", "Tl", "Ag"], "fractional_positions": [[0.780, 0.871, 0.569], [0.220, 0.129, 0.431], [0.067, 0.685, 0.181], [0.933, 0.315, 0.819], [0.340, 0.592, 0.728], [0.500, 0.000, 0.000], [0.660, 0.408, 0.272], [0.568, 0.224, 0.640], [0.432, 0.776, 0.360], [0.706, 0.658, 0.929], [0.294, 0.342, 0.071], [0.000, 0.000, 0.000]], "ef_kj_per_mol_atoms": -8.59, "m_tot_mub_per_fu": 0.01}



Record 10
{"formula": "Fe3Tc2", "functional": "PBE", "state": "relaxed", "lattice": [[-1.206, -0.517, 3.892], [-2.411, -1.250, -3.081], [2.226, -4.515, 0.089]], "species": ["Fe", "Fe", "Fe", "Tc", "Tc"], "fractional_positions": [[0.000, 0.000, 0.000], [0.667, 0.333, 0.623], [0.333, 0.667, 0.377], [0.667, 0.333, 0.143], [0.333, 0.667, 0.857]], "ef_kj_per_mol_atoms": 52.19, "m_tot_mub_per_fu": 6.87, "e_above_lowest_polymorph_ev_per_atom": 0.385}



Record 11
{"formula": "NbVTeCl2", "functional": "PBE", "state": "relaxed", "lattice": [[5.547, 0.000, 0.000], [0.000, 5.161, 0.000], [0.000, 0.000, 5.547]], "species": ["Cl", "Cl", "Nb", "Te", "V"], "fractional_positions": [[0.000, 0.000, 0.500], [0.500, 0.000, 0.000], [0.500, 0.500, 0.500], [0.000, 0.000, 0.000], [0.000, 0.500, 0.000]], "m_tot_mub_per_fu": 7.77, "formation_energy_uncorrected_ev_per_atom": 1.2174}



Record 12
{"formula": "Dy2Zn5Pd", "functional": "PBE", "state": "relaxed", "lattice": [[4.153, 0.000, 0.000], [-2.076, 8.084, 0.000], [0.000, 0.000, 9.023]], "species": ["Dy", "Dy", "Dy", "Dy", "Zn", "Zn", "Zn", "Zn", "Zn", "Zn", "Zn", "Zn", "Zn", "Zn", "Pd", "Pd"], "fractional_positions": [[0.812, 0.624, 0.750], [0.188, 0.376, 0.250], [0.000, 0.000, 0.000], [0.000, 0.000, 0.500], [0.193, 0.387, 0.892], [0.807, 0.613, 0.108], [0.193, 0.387, 0.608], [0.807, 0.613, 0.392], [0.353, 0.706, 0.978], [0.647, 0.294, 0.022], [0.353, 0.706, 0.522], [0.647, 0.294, 0.478], [0.607, 0.215, 0.750], [0.393, 0.785, 0.250], [0.450, 0.900, 0.750], [0.550, 0.100, 0.250]], "ef_kj_per_mol_atoms": -42.22, "m_tot_mub_per_fu": 0.00}



Record 13
{"formula": "SmZnPO", "functional": "PBE", "state": "relaxed", "lattice": [[-1.159, -10.407, -1.283], [2.486, -9.876, -2.753], [1.966, -10.300, 1.156]], "species": ["P", "P", "Zn", "Zn", "O", "O", "Sm", "Sm"], "fractional_positions": [[0.113, 0.113, 0.113], [0.887, 0.887, 0.887], [0.196, 0.196, 0.196], [0.804, 0.804, 0.804], [0.695, 0.695, 0.695], [0.305, 0.305, 0.305], [0.381, 0.381, 0.381], [0.619, 0.619, 0.619]], "m_tot_mub_per_fu": 0.00, "formation_energy_uncorrected_ev_per_atom": -1.8408}



Record 14
{"formula": "DySc4Hg5", "functional": "PBE", "state": "relaxed", "lattice": [[3.556, 0.000, 0.000], [0.000, 3.556, 0.000], [0.000, 0.000, 17.870]], "species": ["Dy", "Sc", "Sc", "Sc", "Sc", "Hg", "Hg", "Hg", "Hg", "Hg"], "fractional_positions": [[0.000, 0.000, 0.000], [0.000, 0.000, 0.208], [0.000, 0.000, 0.403], [0.000, 0.000, 0.597], [0.000, 0.000, 0.792], [0.500, 0.500, 0.112], [0.500, 0.500, 0.305], [0.500, 0.500, 0.500], [0.500, 0.500, 0.695], [0.500, 0.500, 0.888]], "ef_kj_per_mol_atoms": -41.92, "m_tot_mub_per_fu": 0.17}



Record 15
{"formula": "PuCuRh2", "functional": "PBE", "state": "relaxed", "lattice": [[-2.331, 0.898, -2.190], [-1.296, -3.056, 0.128], [-3.556, 1.696, 4.482]], "species": ["Rh", "Rh", "Cu", "Pu"], "fractional_positions": [[0.000, 0.000, 0.731], [0.000, 0.000, 0.269], [0.500, 0.500, 0.500], [0.500, 0.500, 0.000]], "ef_kj_per_mol_atoms": -20.72, "m_tot_mub_per_fu": 4.25}



Record 16
{"formula": "CaLaAl", "functional": "PBE", "state": "relaxed", "lattice": [[9.337, -0.067, 0.057], [0.727, 3.547, -0.001], [0.400, -0.081, 5.581]], "species": ["Ca", "Ca", "Al", "Al", "La", "La"], "fractional_positions": [[0.794, 0.320, 0.819], [0.039, 0.198, 0.286], [0.743, 0.846, 0.334], [0.516, 0.959, 0.700], [0.458, 0.488, 0.225], [0.228, 0.603, 0.761]], "ef_kj_per_mol_atoms": -13.97, "m_tot_mub_per_fu": 0.00, "e_above_lowest_polymorph_ev_per_atom": 0.136}



Record 17
{"formula": "BeCoNi3", "functional": "PBE", "state": "relaxed", "lattice": [[-1.798, 2.080, 2.681], [-0.949, -3.221, 1.863], [3.258, 0.210, 2.023]], "species": ["Ni", "Ni", "Ni", "Co", "Be"], "fractional_positions": [[0.000, 0.500, 0.000], [0.000, 0.000, 0.500], [0.500, 0.000, 0.000], [0.500, 0.500, 0.500], [0.000, 0.000, 0.000]], "ef_kj_per_mol_atoms": 45.56, "m_tot_mub_per_fu": 3.00, "e_above_lowest_polymorph_ev_per_atom": 0.000}



Record 18
{"formula": "Si3TeH", "functional": "PBE", "state": "relaxed", "lattice": [[4.280, 0.000, 0.000], [0.000, 4.280, 0.000], [0.000, 0.000, 4.280]], "species": ["H", "Si", "Si", "Si", "Te"], "fractional_positions": [[0.000, 0.000, 0.000], [0.000, 0.500, 0.000], [0.000, 0.000, 0.500], [0.500, 0.000, 0.000], [0.500, 0.500, 0.500]], "m_tot_mub_per_fu": 0.00, "dft_energy_ev_per_atom": -3.762}



Record 19
{"formula": "ThAgRhAu", "functional": "PBE", "state": "relaxed", "lattice": [[4.907, 0.000, 0.000], [2.454, 4.250, 0.000], [2.454, 1.417, 4.007]], "species": ["Rh", "Au", "Ag", "Th"], "fractional_positions": [[0.000, 0.000, 0.000], [0.500, 0.500, 0.500], [0.250, 0.250, 0.250], [0.750, 0.750, 0.750]], "ef_kj_per_mol_atoms": -40.76, "m_tot_mub_per_fu": 0.00}



Record 20
{"formula": "NaTb2N", "functional": "PBE", "state": "relaxed", "lattice": [[3.485, 0.000, 0.000], [1.742, 3.018, 0.000], [1.742, 1.006, 9.719]], "species": ["Na", "Tb", "Tb", "N"], "fractional_positions": [[0.000, 0.000, 0.000], [0.121, 0.121, 0.636], [0.879, 0.879, 0.364], [0.500, 0.500, 0.500]], "m_tot_mub_per_fu": 0.00, "formation_energy_uncorrected_ev_per_atom": -0.6551}